The following is a PBEsol calculation of an optimized crystal structure of Cs3AgPt, from Alexandria.

Cell: 6.414 6.414 6.414 Å, 90.00 90.00 90.00°
Fractional coordinates of all 5 atoms:
Cs 0.000 0.500 0.000
Cs 0.000 0.000 0.500
Cs 0.500 0.000 0.000
Pt 0.000 0.000 0.000
Ag 0.500 0.500 0.500



The following is a PBEsol calculation of an optimized crystal structure of CsAgPt3, from Alexandria.

## Properties
The value obtained for the density of states at the Fermi level is 1.70 states/eV/f.u.

Cell: 5.075 5.075 5.075 Å, 90.00 90.00 90.00°
Fractional coordinates of all 5 atoms:
Cs 0.000 0.000 0.000
Ag 0.500 0.500 0.500
Pt 0.000 0.500 0.000
Pt 0.000 0.000 0.500
Pt 0.500 0.000 0.000



Number 1: total energy -2.42 eV per atom. Number 2: total energy -2.80 eV per atom.